w) Hf2CrOs2: relaxed, PBE-GGA.

Calculated volume, Å³/f.u.: 87.66
D(E_F), states/eV per atom: 0.85

Cell lengths 6.3353, 6.3353, 4.3683 Å; angles 90.00, 90.00, 90.00 degrees
Last column: nearest neighbours and their distance in Å.
Fractional coordinates of all 10 atoms:
Hf  0.1794  0.3206  0.0000  6 Os 2.71-2.99
Hf  0.3206  0.8206  0.0000  6 Os 2.71-2.99
Hf  0.6794  0.1794  0.0000  6 Os 2.71-2.99
Hf  0.8206  0.6794  0.0000  6 Os 2.71-2.99
Cr  0.0000  0.0000  0.5000  4 Os 2.44
Cr  0.5000  0.5000  0.5000  4 Os 2.44
Os  0.1416  0.6416  0.5000  2 Cr 2.44, 1 Os 2.54, 2 Hf 2.71
Os  0.3584  0.1416  0.5000  2 Cr 2.44, 1 Os 2.54, 2 Hf 2.71
Os  0.6416  0.8584  0.5000  2 Cr 2.44, 1 Os 2.54, 2 Hf 2.71
Os  0.8584  0.3584  0.5000  2 Cr 2.44, 1 Os 2.54, 2 Hf 2.71

=====

x) Hf2CrOs2: relaxed, PBE-GGA.

Calculated volume, Å³/f.u.: 88.25
D(E_F), states/eV per atom: 1.77

Cell lengths 7.5856, 7.5856, 3.0673 Å; angles 90.00, 90.00, 90.00 degrees
Last column: nearest neighbours and their distance in Å.
Fractional coordinates of all 10 atoms:
Hf  0.1485  0.3515  0.0000  6 Os 2.61-2.76, 2 Cr 2.89
Hf  0.3515  0.8515  0.0000  6 Os 2.61-2.76, 2 Cr 2.89
Hf  0.6485  0.1485  0.0000  6 Os 2.61-2.76, 2 Cr 2.89
Hf  0.8515  0.6485  0.0000  6 Os 2.61-2.76, 2 Cr 2.89
Cr  0.0000  0.0000  0.0000  4 Hf 2.89, 2 Cr 3.07
Cr  0.5000  0.5000  0.0000  4 Hf 2.89, 2 Cr 3.07
Os  0.1541  0.6541  0.5000  6 Hf 2.61-2.76
Os  0.3459  0.1541  0.5000  6 Hf 2.61-2.76
Os  0.6541  0.8459  0.5000  6 Hf 2.61-2.76
Os  0.8459  0.3459  0.5000  6 Hf 2.61-2.76

=====

y) Hf2CrOs2: relaxed, PBE-GGA.

Calculated volume, Å³/f.u.: 94.93
D(E_F), states/eV per atom: 1.11

Cell lengths 8.1765, 8.1765, 8.1765 Å; angles 155.36, 155.36, 35.13 degrees
Last column: nearest neighbours and their distance in Å.
Fractional coordinates of all 5 atoms:
Hf  0.1007  0.1007  0.0000  4 Os 2.91, 4 Cr 2.92, 1 Hf 3.14
Hf  0.8993  0.8993  0.0000  4 Os 2.91, 4 Cr 2.92, 1 Hf 3.14
Cr  0.5000  0.5000  0.0000  8 Hf 2.92
Os  0.2500  0.7500  0.5000  4 Os 2.47
Os  0.7500  0.2500  0.5000  4 Os 2.47

=====

On energetic grounds, w) is preferred over the next structure by 0.509 eV/atom.

=====

w) HfCrOs2S: relaxed, PBE-GGA.

Calculated volume, Å³/f.u.: 116.77
D(E_F), states/eV per atom: 1.56

Cell lengths 4.8026, 4.8026, 5.0624 Å; angles 90.00, 90.00, 90.00 degrees
Last column: nearest neighbours and their distance in Å.
Fractional coordinates of all 5 atoms:
Hf  0.0000  0.0000  0.0000  4 Os 2.40, 2 Cr 2.53
Cr  0.0000  0.0000  0.5000  2 Hf 2.53
Os  0.0000  0.5000  0.0000  2 Hf 2.40
Os  0.5000  0.0000  0.0000  2 Hf 2.40
S  0.5000  0.5000  0.5000  4 Cr 3.40, 8 Os 3.49

=====

x) HfCrOs2S: relaxed, PBE-GGA.

Calculated volume, Å³/f.u.: 114.69
D(E_F), states/eV per atom: 1.00

Cell lengths 4.8981, 4.8981, 4.7806 Å; angles 90.00, 90.00, 90.00 degrees
Last column: nearest neighbours and their distance in Å.
Fractional coordinates of all 5 atoms:
Hf  0.0000  0.0000  0.0000  2 S 2.39, 4 Os 2.45
Cr  0.5000  0.5000  0.5000  8 Os 3.42, 4 S 3.46
Os  0.0000  0.5000  0.0000  2 Hf 2.45
Os  0.5000  0.0000  0.0000  2 Hf 2.45
S  0.0000  0.0000  0.5000  2 Hf 2.39

=====

On energetic grounds, x) is preferred over the next structure by 0.647 eV/atom.

=====

w) HfCrP2: relaxed, PBE-GGA.

Calculated volume, Å³/f.u.: 87.04
D(E_F), states/eV per atom: 0.59

Cell lengths 6.9056, 6.9056, 6.9056 Å; angles 132.79, 132.79, 68.98 degrees
Last column: nearest neighbours and their distance in Å.
Fractional coordinates of all 8 atoms:
Hf  0.0000  0.0000  0.0000  4 P 2.52
Hf  0.7500  0.2500  0.5000  4 P 2.52
Cr  0.2500  0.7500  0.5000  4 P 2.33
Cr  0.5000  0.5000  0.0000  4 P 2.33
P  0.1552  0.6250  0.0302  2 Cr 2.33, 2 Hf 2.52
P  0.3750  0.4052  0.5302  2 Cr 2.33, 2 Hf 2.52
P  0.5948  0.1250  0.9698  2 Cr 2.33, 2 Hf 2.52
P  0.8750  0.8448  0.4698  2 Cr 2.33, 2 Hf 2.52

=====

x) HfCrP2: relaxed, PBE-GGA.

Calculated volume, Å³/f.u.: 63.51
D(E_F), states/eV per atom: 0.50

Cell lengths 5.8929, 5.8929, 5.8929 Å; angles 36.09, 36.09, 36.09 degrees
Last column: nearest neighbours and their distance in Å.
Fractional coordinates of all 4 atoms:
Hf  0.0000  0.0000  0.0000  6 P 2.61
Cr  0.5000  0.5000  0.5000  6 P 2.43
P  0.2399  0.2399  0.2399  3 Cr 2.43, 3 Hf 2.61
P  0.7601  0.7601  0.7601  3 Cr 2.43, 3 Hf 2.61

=====

y) HfCrP2: relaxed, PBE-GGA.

Calculated volume, Å³/f.u.: 57.54
D(E_F), states/eV per atom: 0.21

Cell lengths 4.3334, 4.3334, 4.3334 Å; angles 60.00, 60.00, 60.00 degrees
Last column: nearest neighbours and their distance in Å.
Fractional coordinates of all 4 atoms:
Hf  0.0000  0.0000  0.0000  8 P 2.65
Cr  0.5000  0.5000  0.5000  8 P 2.65
P  0.2500  0.2500  0.2500  4 Hf 2.65, 4 Cr 2.65
P  0.7500  0.7500  0.7500  4 Cr 2.65, 4 Hf 2.65

=====

On energetic grounds, x) is preferred over the next structure by 0.300 eV/atom.

=====

w) HfCrP2S: relaxed, PBE-GGA.

Calculated volume, Å³/f.u.: 118.21
D(E_F), states/eV per atom: 1.14

Cell lengths 4.9670, 4.9670, 4.7914 Å; angles 90.00, 90.00, 90.00 degrees
Last column: nearest neighbours and their distance in Å.
Fractional coordinates of all 5 atoms:
Hf  0.0000  0.0000  0.0000  2 S 2.40, 4 P 2.48
Cr  0.5000  0.5000  0.5000  8 P 3.45, 4 S 3.51
P  0.0000  0.5000  0.0000  2 Hf 2.48
P  0.5000  0.0000  0.0000  2 Hf 2.48
S  0.0000  0.0000  0.5000  2 Hf 2.40

=====

x) HfCrP2S: relaxed, PBE-GGA.

Calculated volume, Å³/f.u.: 88.32
D(E_F), states/eV per atom: 0.92

Cell lengths 4.2658, 4.2658, 4.8534 Å; angles 90.00, 90.00, 90.00 degrees
Last column: nearest neighbours and their distance in Å.
Fractional coordinates of all 5 atoms:
Hf  0.0000  0.0000  0.0000  4 S 3.02, 8 P 3.23
Cr  0.5000  0.5000  0.5000  4 P 2.13
P  0.0000  0.5000  0.5000  2 Cr 2.13
P  0.5000  0.0000  0.5000  2 Cr 2.13
S  0.5000  0.5000  0.0000  2 Cr 2.43

=====

On energetic grounds, x) is preferred over the next structure by 0.601 eV/atom.

=====

w) HfCrPS2: relaxed, PBE-GGA.

Calculated volume, Å³/f.u.: 90.59
D(E_F), states/eV per atom: 0.60

Cell lengths 4.4246, 4.4246, 4.6274 Å; angles 90.00, 90.00, 90.00 degrees
Last column: nearest neighbours and their distance in Å.
Fractional coordinates of all 5 atoms:
Hf  0.0000  0.0000  0.0000  4 P 3.13, 8 S 3.20
Cr  0.5000  0.5000  0.5000  4 S 2.21, 2 P 2.31
P  0.5000  0.5000  0.0000  2 Cr 2.31
S  0.0000  0.5000  0.5000  2 Cr 2.21
S  0.5000  0.0000  0.5000  2 Cr 2.21

=====

x) HfCrPS2: relaxed, PBE-GGA.

Calculated volume, Å³/f.u.: 120.36
D(E_F), states/eV per atom: 0.83

Cell lengths 4.8796, 4.8796, 5.0549 Å; angles 90.00, 90.00, 90.00 degrees
Last column: nearest neighbours and their distance in Å.
Fractional coordinates of all 5 atoms:
Hf  0.0000  0.0000  0.0000  4 S 2.44, 2 P 2.53
Cr  0.5000  0.5000  0.5000  4 P 3.45, 8 S 3.51
P  0.0000  0.0000  0.5000  2 Hf 2.53
S  0.0000  0.5000  0.0000  2 Hf 2.44
S  0.5000  0.0000  0.0000  2 Hf 2.44

=====

On energetic grounds, x) is preferred over the next structure by 0.020 eV/atom.

=====

w) HfVCrP2: relaxed, PBE-GGA.

Calculated volume, Å³/f.u.: 111.89
D(E_F), states/eV per atom: 1.55

Cell lengths 4.8620, 4.8620, 4.7333 Å; angles 90.00, 90.00, 90.00 degrees
Last column: nearest neighbours and their distance in Å.
Fractional coordinates of all 5 atoms:
Hf  0.0000  0.0000  0.0000  2 Cr 2.37, 4 P 2.43
V  0.5000  0.5000  0.5000  8 P 3.39, 4 Cr 3.44
Cr  0.0000  0.0000  0.5000  2 Hf 2.37
P  0.0000  0.5000  0.0000  2 Hf 2.43
P  0.5000  0.0000  0.0000  2 Hf 2.43

=====

x) HfVCrP2: relaxed, PBE-GGA.

Calculated volume, Å³/f.u.: 111.04
D(E_F), states/eV per atom: 0.97

Cell lengths 4.8595, 4.8595, 4.7020 Å; angles 90.00, 90.00, 90.00 degrees
Last column: nearest neighbours and their distance in Å.
Fractional coordinates of all 5 atoms:
Hf  0.0000  0.0000  0.0000  2 V 2.35, 4 P 2.43
V  0.0000  0.0000  0.5000  2 Hf 2.35
Cr  0.5000  0.5000  0.5000  8 P 3.38, 4 V 3.44
P  0.0000  0.5000  0.0000  2 Hf 2.43
P  0.5000  0.0000  0.0000  2 Hf 2.43

=====

On energetic grounds, w) is preferred over the next structure by 0.234 eV/atom.